# 1
{"formula": "MgAgBiSe3", "functional": "PBE", "state": "relaxed", "total_magnetization_mub_per_fu": 0.00, "formation_energy_uncorrected_ev_per_atom": -0.4967, "cell": [[8.174, 0.000, 0.000], [0.000, 4.306, 0.000], [-2.218, 0.000, 8.596]], "species": ["Mg", "Mg", "Ag", "Ag", "Bi", "Bi", "Se", "Se", "Se", "Se", "Se", "Se"], "frac_coords": [[0.203, 0.250, 0.178], [0.797, 0.750, 0.822], [0.390, 0.750, 0.476], [0.610, 0.250, 0.524], [0.292, 0.750, 0.816], [0.708, 0.250, 0.184], [0.078, 0.250, 0.872], [0.215, 0.250, 0.472], [0.414, 0.750, 0.141], [0.586, 0.250, 0.859], [0.785, 0.750, 0.528], [0.922, 0.750, 0.128]]}

# 2
{"formula": "Sr2YP", "functional": "PBE", "state": "relaxed", "total_magnetization_mub_per_fu": 0.00, "ef_ev_per_atom": -0.516, "cell": [[4.167, 0.000, 0.000], [0.000, 2.570, 6.701], [0.000, -2.570, 6.701]], "species": ["Sr", "Sr", "Y", "P"], "frac_coords": [[0.000, 0.000, 0.000], [0.500, 0.321, 0.321], [0.000, 0.687, 0.687], [0.500, 0.556, 0.556]]}

# 3
{"formula": "Li2SbS", "functional": "PBE", "state": "relaxed", "total_magnetization_mub_per_fu": 0.00, "formation_energy_uncorrected_ev_per_atom": -0.5658, "de_polymorph_kj_per_mol_fu": 2, "cell": [[1.842, 1.064, 6.588], [-1.842, 1.064, 6.588], [0.000, -2.127, 6.588]], "species": ["Li", "Li", "Sb", "S"], "frac_coords": [[0.215, 0.215, 0.215], [0.785, 0.785, 0.785], [0.000, 0.000, 0.000], [0.500, 0.500, 0.500]]}

# 4
{"formula": "CaErTlF6", "functional": "PBE", "state": "relaxed", "total_magnetization_mub_per_fu": 0.00, "formation_energy_uncorrected_ev_per_atom": -3.5151, "cell": [[-4.049, 4.132, 5.986], [4.049, -4.132, 5.986], [4.049, 4.132, -5.986]], "species": ["Ca", "Ca", "Er", "Er", "Tl", "Tl", "F", "F", "F", "F", "F", "F", "F", "F", "F", "F", "F", "F"], "frac_coords": [[0.500, 0.000, 0.000], [0.500, 0.500, 0.500], [0.000, 0.000, 0.000], [0.500, 0.000, 0.500], [0.220, 0.470, 0.750], [0.780, 0.530, 0.250], [0.180, 0.310, 0.260], [0.180, 0.920, 0.870], [0.191, 0.941, 0.250], [0.421, 0.671, 0.750], [0.450, 0.080, 0.760], [0.450, 0.690, 0.370], [0.550, 0.310, 0.630], [0.550, 0.920, 0.240], [0.579, 0.329, 0.250], [0.809, 0.059, 0.750], [0.820, 0.080, 0.130], [0.820, 0.690, 0.740]]}